[1]
{"formula": "NpAgB", "functional": "PBE", "state": "relaxed", "lattice_angstrom": [[0.0000, 3.0183, 3.0183], [3.0183, 0.0000, 3.0183], [3.0183, 3.0183, 0.0000]], "species": ["Np", "Ag", "B"], "frac_coords": [[0.0000, 0.0000, 0.0000], [0.5000, 0.5000, 0.5000], [0.7500, 0.7500, 0.7500]], "polymorph_energy_mev_per_atom": 0, "sg": "F-43m, No. 216"}



[2]
{"formula": "Ag2B8O13", "functional": "PBE", "state": "relaxed", "lattice_angstrom": [[6.4811, 0.0000, 0.0000], [0.0000, 8.6145, 0.0000], [-0.3196, 0.0000, 17.3738]], "species": ["Ag", "Ag", "Ag", "Ag", "Ag", "Ag", "Ag", "Ag", "B", "B", "B", "B", "B", "B", "B", "B", "B", "B", "B", "B", "B", "B", "B", "B", "B", "B", "B", "B", "B", "B", "B", "B", "B", "B", "B", "B", "B", "B", "B", "B", "O", "O", "O", "O", "O", "O", "O", "O", "O", "O", "O", "O", "O", "O", "O", "O", "O", "O", "O", "O", "O", "O", "O", "O", "O", "O", "O", "O", "O", "O", "O", "O", "O", "O", "O", "O", "O", "O", "O", "O", "O", "O", "O", "O", "O", "O", "O", "O", "O", "O", "O", "O"], "frac_coords": [[0.0290, 0.0516, 0.4002], [0.0290, 0.4484, 0.9002], [0.4332, 0.0227, 0.8832], [0.4332, 0.4773, 0.3832], [0.5668, 0.5227, 0.6168], [0.5668, 0.9773, 0.1168], [0.9710, 0.5516, 0.0998], [0.9710, 0.9484, 0.5998], [0.0104, 0.0177, 0.8134], [0.0104, 0.4823, 0.3134], [0.0432, 0.2405, 0.2332], [0.0432, 0.2595, 0.7332], [0.0475, 0.1881, 0.0921], [0.0475, 0.3119, 0.5921], [0.2552, 0.7298, 0.9986], [0.2552, 0.7702, 0.4986], [0.3820, 0.2209, 0.0172], [0.3820, 0.2791, 0.5172], [0.4618, 0.6706, 0.2305], [0.4618, 0.8294, 0.7305], [0.4714, 0.5894, 0.8130], [0.4714, 0.9106, 0.3130], [0.4935, 0.1198, 0.4088], [0.4935, 0.3802, 0.9088], [0.5065, 0.6198, 0.0912], [0.5065, 0.8802, 0.5912], [0.5286, 0.0894, 0.6870], [0.5286, 0.4106, 0.1870], [0.5382, 0.1706, 0.2695], [0.5382, 0.3294, 0.7695], [0.6180, 0.7209, 0.4828], [0.6180, 0.7791, 0.9828], [0.7448, 0.2298, 0.5014], [0.7448, 0.2702, 0.0014], [0.9525, 0.6881, 0.4079], [0.9525, 0.8119, 0.9079], [0.9568, 0.7405, 0.2668], [0.9568, 0.7595, 0.7668], [0.9896, 0.5177, 0.6866], [0.9896, 0.9823, 0.1866], [0.0343, 0.1738, 0.7998], [0.0343, 0.3262, 0.2998], [0.0427, 0.5374, 0.3856], [0.0427, 0.9626, 0.8856], [0.0440, 0.0805, 0.2473], [0.0440, 0.4195, 0.7473], [0.0532, 0.2031, 0.6609], [0.0532, 0.2969, 0.1609], [0.0624, 0.7323, 0.9690], [0.0624, 0.7677, 0.4690], [0.2585, 0.1571, 0.0698], [0.2585, 0.3429, 0.5698], [0.3013, 0.6232, 0.0551], [0.3013, 0.8768, 0.5551], [0.3326, 0.1767, 0.4596], [0.3326, 0.3233, 0.9596], [0.4106, 0.6701, 0.4755], [0.4106, 0.8299, 0.9755], [0.4281, 0.7413, 0.7948], [0.4281, 0.7587, 0.2948], [0.4387, 0.5381, 0.8850], [0.4387, 0.9619, 0.3850], [0.4565, 0.5108, 0.2435], [0.4565, 0.9892, 0.7435], [0.4994, 0.2267, 0.3401], [0.4994, 0.2733, 0.8401], [0.5006, 0.7267, 0.1599], [0.5006, 0.7733, 0.6599], [0.5435, 0.0108, 0.2565], [0.5435, 0.4892, 0.7565], [0.5613, 0.0381, 0.6150], [0.5613, 0.4619, 0.1150], [0.5719, 0.2413, 0.7052], [0.5719, 0.2587, 0.2052], [0.5894, 0.1701, 0.0245], [0.5894, 0.3299, 0.5245], [0.6674, 0.6767, 0.0404], [0.6674, 0.8233, 0.5404], [0.6987, 0.1232, 0.4449], [0.6987, 0.3768, 0.9449], [0.7415, 0.6571, 0.4302], [0.7415, 0.8429, 0.9302], [0.9376, 0.2323, 0.5310], [0.9376, 0.2677, 0.0310], [0.9468, 0.7031, 0.8391], [0.9468, 0.7969, 0.3391], [0.9560, 0.5805, 0.2527], [0.9560, 0.9195, 0.7527], [0.9573, 0.0374, 0.1144], [0.9573, 0.4626, 0.6144], [0.9657, 0.6738, 0.7002], [0.9657, 0.8262, 0.2002]], "total_energy_ev_per_cell": -687.6, "sg": "P2_1/c, No. 14"}



[3]
{"formula": "AgBO2", "functional": "PBE", "state": "relaxed", "lattice_angstrom": [[-2.3274, 2.3274, 3.3915], [2.3274, -2.3274, 3.3915], [2.3274, 2.3274, -3.3915]], "species": ["Ag", "Ag", "B", "B", "O", "O", "O", "O"], "frac_coords": [[0.0000, 0.0000, 0.0000], [0.7500, 0.2500, 0.5000], [0.2500, 0.7500, 0.5000], [0.5000, 0.5000, 0.0000], [0.2845, 0.1250, 0.6595], [0.3750, 0.7155, 0.8405], [0.4655, 0.6250, 0.3405], [0.8750, 0.5345, 0.1595]], "total_energy_ev_per_cell": -49.7, "sg": "I-42d, No. 122"}



[4]
{"formula": "AgBO2", "functional": "PBE", "state": "relaxed", "lattice_angstrom": [[2.1471, -6.1332, 0.0000], [2.1471, 6.1332, 0.0000], [-0.8353, 0.0000, 4.3512]], "species": ["Ag", "Ag", "B", "B", "O", "O", "O", "O"], "frac_coords": [[0.2371, 0.7629, 0.5000], [0.7629, 0.2371, 0.0000], [0.7985, 0.8982, 0.3939], [0.8982, 0.7985, 0.8939], [0.5856, 0.8765, 0.2697], [0.8723, 0.9466, 0.7128], [0.8765, 0.5856, 0.7697], [0.9466, 0.8723, 0.2128]], "total_energy_ev_per_cell": -50.9, "sg": "Cc, No. 9"}



[5]
{"formula": "AgBPO", "functional": "PBE", "state": "relaxed", "lattice_angstrom": [[2.5550, 0.0000, 0.0000], [0.0000, 6.8192, 0.0000], [0.0000, 0.0000, 5.8673]], "species": ["Ag", "Ag", "B", "B", "P", "P", "O", "O"], "frac_coords": [[0.0000, 0.0983, 0.0000], [0.0000, 0.9017, 0.5000], [0.5000, 0.3469, 0.4859], [0.5000, 0.6531, 0.9859], [0.5000, 0.3867, 0.8317], [0.5000, 0.6133, 0.3317], [0.0000, 0.2456, 0.4296], [0.0000, 0.7544, 0.9296]], "polymorph_energy_mev_per_atom": 68, "sg": "Pmc2_1, No. 26"}



[6]
{"formula": "AgBPO", "functional": "PBE", "state": "relaxed", "lattice_angstrom": [[3.5754, 0.0000, 0.0000], [0.0000, 3.5754, 0.0000], [0.0000, 0.0000, 8.4945]], "species": ["Ag", "Ag", "B", "B", "P", "P", "O", "O"], "frac_coords": [[0.2500, 0.7500, 0.0000], [0.7500, 0.2500, 0.0000], [0.2500, 0.2500, 0.4343], [0.7500, 0.7500, 0.5657], [0.2500, 0.2500, 0.2088], [0.7500, 0.7500, 0.7912], [0.2500, 0.7500, 0.5000], [0.7500, 0.2500, 0.5000]], "polymorph_energy_mev_per_atom": 931, "sg": "P4/nmm, No. 129"}



[7]
{"formula": "AgBPO", "functional": "PBE", "state": "relaxed", "lattice_angstrom": [[4.0472, 0.0000, 0.0000], [0.0000, 4.0472, 0.0000], [0.0000, 0.0000, 6.7441]], "species": ["Ag", "Ag", "B", "B", "P", "P", "O", "O"], "frac_coords": [[0.2500, 0.2500, 0.1031], [0.7500, 0.7500, 0.8969], [0.2500, 0.7500, 0.5000], [0.7500, 0.2500, 0.5000], [0.2500, 0.2500, 0.5644], [0.7500, 0.7500, 0.4356], [0.2500, 0.7500, 0.0000], [0.7500, 0.2500, 0.0000]], "polymorph_energy_mev_per_atom": 1241, "sg": "P4/nmm, No. 129"}



[8]
{"formula": "AgBPO", "functional": "PBE", "state": "relaxed", "lattice_angstrom": [[3.9698, 0.0000, 0.0000], [0.0000, 3.9698, 0.0000], [0.0000, 0.0000, 7.1888]], "species": ["Ag", "Ag", "B", "B", "P", "P", "O", "O"], "frac_coords": [[0.2500, 0.2500, 0.1062], [0.7500, 0.7500, 0.8938], [0.2500, 0.7500, 0.5000], [0.7500, 0.2500, 0.5000], [0.2500, 0.2500, 0.5929], [0.7500, 0.7500, 0.4071], [0.2500, 0.7500, 0.0000], [0.7500, 0.2500, 0.0000]], "polymorph_energy_mev_per_atom": 1251, "sg": "P4/nmm, No. 129"}



[9]
{"formula": "AgBPO", "functional": "PBE", "state": "relaxed", "lattice_angstrom": [[2.9977, 0.0000, 0.0000], [0.0000, 8.0823, 0.0000], [0.0000, 0.0000, 4.4553]], "species": ["Ag", "Ag", "B", "B", "P", "P", "O", "O"], "frac_coords": [[0.0000, 0.1020, 0.0000], [0.0000, 0.8980, 0.5000], [0.5000, 0.4164, 0.5703], [0.5000, 0.5836, 0.0703], [0.0000, 0.2361, 0.4986], [0.0000, 0.7639, 0.9986], [0.5000, 0.4499, 0.8770], [0.5000, 0.5501, 0.3770]], "polymorph_energy_mev_per_atom": 0, "sg": "Pmc2_1, No. 26"}



[10]
{"formula": "AgBS2O8", "functional": "PBE", "state": "relaxed", "lattice_angstrom": [[8.5615, 0.0000, 0.0000], [0.0000, 8.5615, 0.0000], [0.0000, 0.0000, 7.2420]], "species": ["Ag", "Ag", "Ag", "Ag", "B", "B", "B", "B", "S", "S", "S", "S", "S", "S", "S", "S", "O", "O", "O", "O", "O", "O", "O", "O", "O", "O", "O", "O", "O", "O", "O", "O", "O", "O", "O", "O", "O", "O", "O", "O", "O", "O", "O", "O", "O", "O", "O", "O"], "frac_coords": [[0.2500, 0.2500, 0.0717], [0.2500, 0.2500, 0.5717], [0.7500, 0.7500, 0.4283], [0.7500, 0.7500, 0.9283], [0.2500, 0.7500, 0.0000], [0.2500, 0.7500, 0.5000], [0.7500, 0.2500, 0.0000], [0.7500, 0.2500, 0.5000], [0.0847, 0.5847, 0.2500], [0.0847, 0.9153, 0.7500], [0.4153, 0.5847, 0.7500], [0.4153, 0.9153, 0.2500], [0.5847, 0.0847, 0.7500], [0.5847, 0.4153, 0.2500], [0.9153, 0.0847, 0.2500], [0.9153, 0.4153, 0.7500], [0.0661, 0.1113, 0.3315], [0.0661, 0.3887, 0.8315], [0.1088, 0.7195, 0.3903], [0.1088, 0.7805, 0.8903], [0.1113, 0.0661, 0.8315], [0.1113, 0.4339, 0.3315], [0.2195, 0.6088, 0.1097], [0.2195, 0.8912, 0.6097], [0.2805, 0.6088, 0.6097], [0.2805, 0.8912, 0.1097], [0.3887, 0.0661, 0.3315], [0.3887, 0.4339, 0.8315], [0.3912, 0.7195, 0.8903], [0.3912, 0.7805, 0.3903], [0.4339, 0.1113, 0.8315], [0.4339, 0.3887, 0.3315], [0.5661, 0.6113, 0.6685], [0.5661, 0.8887, 0.1685], [0.6088, 0.2195, 0.6097], [0.6088, 0.2805, 0.1097], [0.6113, 0.5661, 0.1685], [0.6113, 0.9339, 0.6685], [0.7195, 0.1088, 0.8903], [0.7195, 0.3912, 0.3903], [0.7805, 0.1088, 0.3903], [0.7805, 0.3912, 0.8903], [0.8887, 0.5661, 0.6685], [0.8887, 0.9339, 0.1685], [0.8912, 0.2195, 0.1097], [0.8912, 0.2805, 0.6097], [0.9339, 0.6113, 0.1685], [0.9339, 0.8887, 0.6685]], "total_energy_ev_per_cell": -292.1, "sg": "P4/ncc, No. 130"}



[11]
{"formula": "SiAgBO4", "functional": "PBE", "state": "relaxed", "lattice_angstrom": [[-2.3571, 2.3571, 3.4768], [2.3571, -2.3571, 3.4768], [2.3571, 2.3571, -3.4768]], "species": ["Si", "Ag", "B", "O", "O", "O", "O"], "frac_coords": [[0.0000, 0.0000, 0.0000], [0.5000, 0.5000, 0.0000], [0.2500, 0.7500, 0.5000], [0.0230, 0.8688, 0.6264], [0.1312, 0.7576, 0.1542], [0.2424, 0.3966, 0.3736], [0.6034, 0.9770, 0.8458]], "total_energy_ev_per_cell": -48.9, "sg": "I-4, No. 82"}



[12]
{"formula": "AgB4Os", "functional": "PBE", "state": "relaxed", "lattice_angstrom": [[-1.5102, 2.6589, 3.5267], [1.5102, -2.6589, 3.5267], [1.5102, 2.6589, -3.5267]], "species": ["Ag", "B", "B", "B", "B", "Os"], "frac_coords": [[0.0000, 0.0000, 0.0000], [0.0929, 0.7516, 0.3414], [0.4102, 0.7516, 0.6586], [0.5898, 0.2484, 0.3414], [0.9071, 0.2484, 0.6586], [0.5000, 0.5000, 0.0000]], "polymorph_energy_mev_per_atom": 102, "sg": "Immm, No. 71"}